# Np2TlAgS4 (PBE, optimized geometry)
data_Np2TlAgS4
_space_group_name_H-M_alt 'C m c m'
_space_group_IT_number 63
_space_group_name_Hall '-C 2c 2'
_cell_length_a 4.079
_cell_length_b 13.417
_cell_length_c 14.307
_cell_angle_alpha 90.00
_cell_angle_beta 90.00
_cell_angle_gamma 90.00
loop_
_atom_site_label
_atom_site_fract_x
_atom_site_fract_y
_atom_site_fract_z
_atom_site_occupancy
Np1 0.000 0.130 0.063 1
Tl1 0.000 0.388 0.250 1
Ag1 0.000 0.329 0.750 1
S1 0.000 0.060 0.250 1
S2 0.000 0.237 0.598 1
S3 0.000 0.500 0.000 1
# Volume (Å³/cell): 783.0
# Electronic total energy (eV per cell): -220.6
# E_form (uncorrected) (eV/f.u.): -7.5